## VIF3 (PBE+U)

Data for a relaxed structure of VIF3.

The structure in extended XYZ format:
```
10
Lattice="5.234 -2.086 0.000 5.234 2.086 0.000 -3.493 0.000 9.744" Properties=species:S:1:pos:R:3 pbc="T T T"
V -0.254 0.000 4.273
V 7.230 0.000 5.472
I 3.876 0.000 0.190
I 3.099 0.000 9.554
F -1.329 0.000 6.010
F 0.464 0.000 2.613
F 1.589 0.000 5.235
F 5.387 0.000 4.509
F 6.512 0.000 7.131
F 8.305 0.000 3.734
```

Properties
N(E_F) in states/eV/f.u.: 1.1
Raw total energy in eV/atom: -5.023
ΔE to the lowest computed polymorph in meV per atom: 0
Total magnetic moment in μB per atom: 0.413